1.
Entry from Alexandria: a relaxed structure of BeCoW2 (PBE-GGA).

Lattice parameters (Å, degrees): 4.5239 4.5239 4.5239 130.77 130.77 72.17
Sites, in units of the cell vectors:
1 Be 0.0000 0.0000 0.0000
2 Co 0.5000 0.5000 0.0000
3 W 0.2500 0.7500 0.5000
4 W 0.7500 0.2500 0.5000

Output
- spin magnetization (Bohr magnetons per cell) = 0.291
- energy (eV per cell) = -36.002
- symmetry = I4/mmm (139)
- energy of formation (eV/atom) = 0.184

***

2.
Entry from Alexandria: a relaxed structure of TlFe2Tc (PBE-GGA).

Lattice parameters (Å, degrees): 3.0819 3.0819 6.4337 90.00 90.00 90.00
Sites, in units of the cell vectors:
1 Tl 0.0000 0.0000 0.0000
2 Fe 0.0000 0.0000 0.5216
3 Fe 0.5000 0.5000 0.7113
4 Tc 0.5000 0.5000 0.3151

Output
- spin magnetization (Bohr magnetons per cell) = 4.936
- energy (eV per cell) = -27.993
- symmetry = P4mm (99)
- E above lowest polymorph (meV/atom) = 0
- energy of formation (eV/atom) = 0.416

***

3.
Entry from Alexandria: a relaxed structure of Sc2Zn9Ni3 (PBE-GGA).

Lattice parameters (Å, degrees): 7.3891 7.3891 10.0393 112.57 112.57 58.18
Sites, in units of the cell vectors:
1 Sc 0.1020 0.2460 0.2408
2 Sc 0.2460 0.1020 0.7408
3 Sc 0.7540 0.8980 0.2592
4 Sc 0.8980 0.7540 0.7592
5 Zn 0.0303 0.8549 0.0850
6 Zn 0.1451 0.9697 0.4150
7 Zn 0.1930 0.3692 0.5683
8 Zn 0.2157 0.5700 0.2528
9 Zn 0.3149 0.4891 0.9475
10 Zn 0.3265 0.6735 0.7500
11 Zn 0.3692 0.1930 0.0683
12 Zn 0.4300 0.7843 0.2472
13 Zn 0.4891 0.3149 0.4475
14 Zn 0.5109 0.6851 0.5525
15 Zn 0.5700 0.2157 0.7528
16 Zn 0.6308 0.8070 0.9317
17 Zn 0.6735 0.3265 0.2500
18 Zn 0.6851 0.5109 0.0525
19 Zn 0.7843 0.4300 0.7472
20 Zn 0.8070 0.6308 0.4317
21 Zn 0.8549 0.0303 0.5850
22 Zn 0.9697 0.1451 0.9150
23 Ni 0.0000 0.5000 0.0000
24 Ni 0.1352 0.6821 0.4901
25 Ni 0.3179 0.8648 0.0099
26 Ni 0.5000 0.0000 0.5000
27 Ni 0.6821 0.1352 0.9901
28 Ni 0.8648 0.3179 0.5099

Output
- spin magnetization (Bohr magnetons per cell) = 0.000
- energy (eV per cell) = -90.780
- symmetry = C2/c (15)
- energy of formation (eV/atom) = -0.280

***

Copy entry 2 word for word.
Entry from Alexandria: a relaxed structure of TlFe2Tc (PBE-GGA).

Lattice parameters (Å, degrees): 3.0819 3.0819 6.4337 90.00 90.00 90.00
Sites, in units of the cell vectors:
1 Tl 0.0000 0.0000 0.0000
2 Fe 0.0000 0.0000 0.5216
3 Fe 0.5000 0.5000 0.7113
4 Tc 0.5000 0.5000 0.3151

Output
- spin magnetization (Bohr magnetons per cell) = 4.936
- energy (eV per cell) = -27.993
- symmetry = P4mm (99)
- E above lowest polymorph (meV/atom) = 0
- energy of formation (eV/atom) = 0.416

***

Copy entry 2 word for word.
Entry from Alexandria: a relaxed structure of TlFe2Tc (PBE-GGA).

Lattice parameters (Å, degrees): 3.0819 3.0819 6.4337 90.00 90.00 90.00
Sites, in units of the cell vectors:
1 Tl 0.0000 0.0000 0.0000
2 Fe 0.0000 0.0000 0.5216
3 Fe 0.5000 0.5000 0.7113
4 Tc 0.5000 0.5000 0.3151

Output
- spin magnetization (Bohr magnetons per cell) = 4.936
- energy (eV per cell) = -27.993
- symmetry = P4mm (99)
- E above lowest polymorph (meV/atom) = 0
- energy of formation (eV/atom) = 0.416

***

> Look up the spin magnetization of the second one.

4.936 Bohr magnetons per cell

***

> Among the records above, which one has the highest energy?

TlFe2Tc